VASP calculation (PBE) on a geometry-optimized In3Ag2 structure.

Cell and atoms, written as extended XYZ:
```
5
Lattice="2.385 -4.131 0.000 2.385 4.131 0.000 0.000 0.000 6.035" Properties=species:S:1:pos:R:3 pbc="T T T"
Ag 2.385 1.377 0.988
In 2.385 -1.377 2.132
In 2.385 1.377 3.903
In 0.000 0.000 0.000
Ag 2.385 -1.377 5.047
```

Values from the calculation:
**Fermi-level density of states**: 1.34 states/eV/cell
**Formation enthalpy at 0 K**: 0.02 eV per atom
**Energy relative to the lowest polymorph listed for this composition**: 0.0000 eV/atom
**Volume**: 23.78 Å³/atom
**Total moment**: 0.000 μB per atom